Record 1
Entry from Alexandria: Bi2Te2H after structural relaxation (PBE).

Lattice parameters (Å, degrees): 4.6833 4.6833 8.3937 73.80 73.80 90.00
Each line ends with the local moment (μB).
Positions (direct):
Te  0.4078  0.4078  0.1844  0.02
H  0.0000  0.0000  0.0000  0.35
Bi  0.2500  0.7500  0.5000  -0.01
Bi  0.7500  0.2500  0.5000  -0.01
Te  0.5922  0.5922  0.8156  0.02

The energy relative to the lowest polymorph listed for this composition comes out at 0.097 eV per atom. The value obtained for the density of states at the Fermi level is 2.49 states/eV/cell. As for the space group: I4/mmm (139).

---

Record 2
Entry from Alexandria: Ac2PtBr2 after structural relaxation (PBE).

Lattice parameters (Å, degrees): 4.3992 4.3992 11.6346 79.10 79.10 60.00
Positions (direct):
Ac  0.6154  0.6154  0.1537
Ac  0.3846  0.3846  0.8463
Br  0.2225  0.2225  0.3326
Br  0.7775  0.7775  0.6674
Pt  0.0000  0.0000  0.0000

The uncorrected formation energy comes out at -1.58 eV per atom. The value obtained for the density of states at the Fermi level is 0.84 states/eV/cell. As for the space group: R-3m (166).

---

Record 3
Entry from Alexandria: Er7Ni2Te2 after structural relaxation (PBE).

Lattice parameters (Å, degrees): 7.6785 6.9975 6.9975 108.63 97.64 97.64
Each line ends with the local moment (μB).
Positions (direct):
Te  0.5000  0.6965  0.3035  0.00
Er  0.8045  0.5721  0.5721  0.02
Ni  0.8663  0.2686  0.2686  0.01
Ni  0.1337  0.7314  0.7314  0.01
Er  0.8000  0.0754  0.5354  0.05
Er  0.0000  0.0000  0.0000  0.12
Er  0.8000  0.5354  0.0754  0.05
Te  0.5000  0.3035  0.6965  0.00
Er  0.1955  0.4279  0.4279  0.02
Er  0.2000  0.9246  0.4646  0.05
Er  0.2000  0.4646  0.9246  0.05

The energy relative to the lowest polymorph listed for this composition comes out at 0.363 eV per atom. The uncorrected formation energy comes out at -0.32 eV per atom. The value obtained for the density of states at the Fermi level is 10.96 states/eV/cell. As for the space group: C2/m (12).

---

Record 4
Entry from Alexandria: Pm2Si4Rh3 after structural relaxation (PBE).

Lattice parameters (Å, degrees): 5.6003 5.6003 6.5486 101.91 101.91 121.16
Positions (direct):
Si  0.9775  0.3399  0.3174
Pm  0.3644  0.3644  0.7289
Rh  0.5000  0.0000  0.0000
Si  0.0225  0.6601  0.6826
Si  0.3399  0.9775  0.3174
Pm  0.6356  0.6356  0.2711
Si  0.6601  0.0225  0.6826
Rh  0.0000  0.5000  0.0000
Rh  0.0000  0.0000  0.0000

The uncorrected formation energy comes out at -0.76 eV per atom. The value obtained for the density of states at the Fermi level is 5.63 states/eV/cell. As for the space group: Fmmm (69).

---

Record 5
Entry from Alexandria: TiInC3 after structural relaxation (PBE).

Lattice parameters (Å, degrees): 4.1965 4.1965 4.1965 90.00 90.00 90.00
Positions (direct):
C  0.0000  0.5000  0.0000
C  0.5000  0.0000  0.0000
In  0.0000  0.0000  0.0000
C  0.0000  0.0000  0.5000
Ti  0.5000  0.5000  0.5000

The formation energy comes out at 2.814 eV per atom. The energy relative to the lowest polymorph listed for this composition comes out at 1.075 eV per atom. The value obtained for the density of states at the Fermi level is 4.74 states/eV/cell. As for the space group: Pm-3m (221).

---

Record 6
Entry from Alexandria: Ag5HgAu12 after structural relaxation (PBE).

Lattice parameters (Å, degrees): 8.7821 8.6883 5.0336 90.00 90.00 59.64
Positions (direct):
Au  0.6641  0.3372  0.0002
Hg  0.0000  0.0000  0.0000
Au  0.8310  0.0000  0.4997
Au  0.1664  0.3336  0.4998
Au  0.3354  0.0000  0.0003
Au  0.8336  0.6664  0.5002
Ag  0.5000  0.0000  0.5000
Au  0.9987  0.3372  0.9998
Ag  0.6660  0.6679  0.0000
Au  0.3359  0.6628  0.9998
Au  0.6646  0.0000  0.9997
Ag  0.8320  0.3359  0.5000
Au  0.0013  0.6628  0.0002
Au  0.5000  0.3336  0.5002
Ag  0.1680  0.6641  0.5000
Ag  0.3340  0.3321  0.0000
Au  0.1690  0.0000  0.5003
Au  0.5000  0.6664  0.4998

The formation energy comes out at -0.002 eV per atom. The value obtained for the density of states at the Fermi level is 4.17 states/eV/cell. As for the space group: Cmmm (65).

---

Record 7
Entry from Alexandria: LaHgCl after structural relaxation (PBE).

Lattice parameters (Å, degrees): 4.4305 4.4305 11.5186 87.36 87.36 60.67
Positions (direct):
La  0.0142  0.0142  0.2786
Cl  0.3101  0.3101  0.8527
Cl  0.6899  0.6899  0.1473
Hg  0.6633  0.6633  0.5614
Hg  0.3367  0.3367  0.4386
La  0.9858  0.9858  0.7214

The energy relative to the lowest polymorph listed for this composition comes out at 0.000 eV per atom. The uncorrected formation energy comes out at -1.21 eV per atom. The value obtained for the density of states at the Fermi level is 3.99 states/eV/cell. As for the space group: C2/m (12).

---

Record 8
Entry from Alexandria: TcBiN2O after structural relaxation (PBE).

Lattice parameters (Å, degrees): 3.9570 3.9570 4.0078 90.00 90.00 90.00
Positions (direct):
N  0.5000  0.0000  0.0000
Bi  0.5000  0.5000  0.5000
Tc  0.0000  0.0000  0.0000
O  0.0000  0.0000  0.5000
N  0.0000  0.5000  0.0000

The uncorrected formation energy comes out at 0.13 eV per atom. The value obtained for the density of states at the Fermi level is 2.70 states/eV/cell. As for the space group: P4/mmm (123).